No. 1
A plane-wave DFT calculation with PBE-GGA was carried out for a relaxed Ac2Zn2Ag crystal.

Structure (POSCAR):
```
Ac2Zn2Ag
1.0
7.631 0.000 0.000
0.000 7.631 0.000
0.000 0.000 9.475
Ac Zn Ag
8 8 4
Direct
0.674 0.826 0.500 Ac
0.326 0.174 0.500 Ac
0.826 0.326 0.000 Ac
0.174 0.674 0.000 Ac
0.826 0.326 0.500 Ac
0.174 0.674 0.500 Ac
0.326 0.174 0.000 Ac
0.674 0.826 0.000 Ac
0.375 0.875 0.250 Zn
0.625 0.125 0.250 Zn
0.125 0.375 0.750 Zn
0.875 0.625 0.750 Zn
0.875 0.625 0.250 Zn
0.125 0.375 0.250 Zn
0.375 0.875 0.750 Zn
0.625 0.125 0.750 Zn
0.500 0.500 0.250 Ag
0.000 0.000 0.750 Ag
0.500 0.500 0.750 Ag
0.000 0.000 0.250 Ag
```

Formation energy from the elements, eV per atom: -0.22
Space group: P4/mbm, No. 127
Energy relative to the lowest polymorph listed for this composition, kcal/mol of atoms: 1.22
Electronic total energy, eV/atom: -2.94
Calculated density, Mg/m³: 8.34
Crystal system: tetragonal


No. 2
A plane-wave DFT calculation with PBE-GGA was carried out for a relaxed Ac3Zn4Ag4 crystal.

Structure (POSCAR):
```
Ac3Zn4Ag4
1.0
4.410 0.000 -1.214
-0.856 6.914 -3.108
0.067 -0.217 8.862
Ac Zn Ag
3 4 4
Direct
0.134 0.134 0.267 Ac
0.866 0.866 0.733 Ac
0.000 0.500 0.000 Ac
0.216 0.716 0.431 Zn
0.784 0.284 0.569 Zn
0.500 0.827 0.000 Zn
0.500 0.173 0.000 Zn
0.334 0.145 0.668 Ag
0.666 0.477 0.332 Ag
0.666 0.855 0.332 Ag
0.334 0.523 0.668 Ag
```

Formation energy from the elements, eV per atom: -0.25
Space group: Immm, No. 71
Energy relative to the lowest polymorph listed for this composition, kcal/mol of atoms: 0.59
Electronic total energy, eV/atom: -2.87
Calculated density, Mg/m³: 8.53
Crystal system: orthorhombic